Entry from Alexandria: a relaxed structure of Li2USeO8 (GGA-PBE).

Cell: 5.8985 5.8985 5.8985 Å, 116.32 116.32 96.50°
Last column: nearest neighbours and their distance in Å.
Positions (direct):
Li (0.0000, 0.0000, 0.0000)  4 O 2.06
Li (0.7500, 0.2500, 0.5000)  4 O 1.96
U (0.5000, 0.5000, 0.0000)  4 O 1.90
Se (0.2500, 0.7500, 0.5000)  4 O 1.71
O (0.0554, 0.8172, 0.2382)  1 Se 1.71
O (0.1437, 0.4393, 0.7043)  1 U 1.90, 1 Li 1.96
O (0.1828, 0.4210, 0.2382)  1 Se 1.71
O (0.1828, 0.9446, 0.7618)  1 Se 1.71
O (0.5607, 0.2650, 0.7043)  1 U 1.90, 1 Li 1.96
O (0.5607, 0.8563, 0.2957)  1 U 1.90, 1 Li 1.96
O (0.5790, 0.8172, 0.7618)  1 Se 1.71
O (0.7350, 0.4393, 0.2957)  1 U 1.90, 1 Li 1.96

- E (eV/atom) = -6.286
- total magnetic moment (μB per atom) = 0.03
- symmetry = No. 119

***

Entry from Alexandria: a relaxed structure of ZrCu2Au (GGA-PBE).

Cell: 4.0616 4.0616 4.0354 Å, 90.00 90.00 90.00°
Last column: nearest neighbours and their distance in Å.
Positions (direct):
Zr (0.0000, 0.0000, 0.0000)  8 Cu 2.86, 4 Au 2.87
Cu (0.0000, 0.5000, 0.5000)  4 Zr 2.86, 4 Au 2.86, 4 Cu 2.87
Cu (0.5000, 0.0000, 0.5000)  4 Zr 2.86, 4 Au 2.86, 4 Cu 2.87
Au (0.5000, 0.5000, 0.0000)  8 Cu 2.86, 4 Zr 2.87

- E (eV/atom) = -5.026
- total magnetic moment (μB per atom) = 0.00
- energy above the most stable polymorph in this dataset (meV per atom) = 239.5
- formation energy from the elements (eV per atom) = -0.022
- symmetry = No. 123

***

Q: What is the E in the second record?
A: -5.026 eV/atom

***

Q: The highest E belongs to which entry?
A: ZrCu2Au

***

Repeat the first record exactly.
Entry from Alexandria: a relaxed structure of Li2USeO8 (GGA-PBE).

Cell: 5.8985 5.8985 5.8985 Å, 116.32 116.32 96.50°
Last column: nearest neighbours and their distance in Å.
Positions (direct):
Li (0.0000, 0.0000, 0.0000)  4 O 2.06
Li (0.7500, 0.2500, 0.5000)  4 O 1.96
U (0.5000, 0.5000, 0.0000)  4 O 1.90
Se (0.2500, 0.7500, 0.5000)  4 O 1.71
O (0.0554, 0.8172, 0.2382)  1 Se 1.71
O (0.1437, 0.4393, 0.7043)  1 U 1.90, 1 Li 1.96
O (0.1828, 0.4210, 0.2382)  1 Se 1.71
O (0.1828, 0.9446, 0.7618)  1 Se 1.71
O (0.5607, 0.2650, 0.7043)  1 U 1.90, 1 Li 1.96
O (0.5607, 0.8563, 0.2957)  1 U 1.90, 1 Li 1.96
O (0.5790, 0.8172, 0.7618)  1 Se 1.71
O (0.7350, 0.4393, 0.2957)  1 U 1.90, 1 Li 1.96

- E (eV/atom) = -6.286
- total magnetic moment (μB per atom) = 0.03
- symmetry = No. 119

***

Q: E of number 1 (Li2USeO8)?
A: -6.286 eV/atom